[1]
KMnZn | PBE | optimized geometry

Cell: 5.395 5.395 5.395 Å, 60.00 60.00 60.00°
Site moments in Bohr magnetons follow the coordinates.
Fractional coordinates of all 3 atoms:
Mn (0.000, 0.000, 0.000)  4.30
K (0.750, 0.750, 0.750)  0.00
Zn (0.500, 0.500, 0.500)  -0.01

Properties
The space-group type is F-43m. The calculation puts the excess energy over the best structure of this formula in the dataset at 0.728 eV/atom. Its final energy is -2.666 eV per atom.

[2]
K2MnZn | PBE | optimized geometry

Cell: 8.467 6.226 3.759 Å, 89.97 63.69 123.11°
Site moments in Bohr magnetons follow the coordinates.
Fractional coordinates of all 4 atoms:
Mn (0.000, 0.500, 0.500)  4.20
K (0.500, 0.000, 0.500)  -0.01
K (0.000, 0.000, 0.000)  -0.01
Zn (0.500, 0.500, 0.000)  -0.02

Properties
The space-group type is Cmmm. Its final energy is -2.463 eV per atom.

[3]
KZrMnZn2 | PBE | optimized geometry

Cell: 5.026 4.483 5.026 Å, 90.00 90.00 90.00°
Site moments in Bohr magnetons follow the coordinates.
Fractional coordinates of all 5 atoms:
Zn (0.500, 0.000, 0.000)  -0.01
Zn (0.000, 0.000, 0.500)  0.01
Zr (0.000, 0.500, 0.000)  -0.07
Mn (0.000, 0.000, 0.000)  0.30
K (0.500, 0.500, 0.500)  0.00

Properties
The space-group type is P4/mmm. Its final energy is -3.872 eV per atom.

[4]
KZrMn2 | PBE | optimized geometry

Cell: 5.566 5.566 5.566 Å, 134.06 134.06 66.99°
Site moments in Bohr magnetons follow the coordinates.
Fractional coordinates of all 4 atoms:
Zr (0.500, 0.500, 0.000)  -1.05
Mn (0.000, 0.000, 0.000)  3.67
Mn (0.250, 0.750, 0.500)  3.65
K (0.750, 0.250, 0.500)  -0.04

Properties
The space-group type is I-4m2. The calculation puts the excess energy over the best structure of this formula in the dataset at 0.563 eV/atom. Its final energy is -5.921 eV per atom.

[5]
KZrMn2 | PBE | optimized geometry

Cell: 3.437 3.490 8.970 Å, 67.16 90.00 90.00°
Site moments in Bohr magnetons follow the coordinates.
Fractional coordinates of all 4 atoms:
Mn (0.000, 0.584, 0.416)  3.42
Mn (0.000, 0.916, 0.084)  3.42
K (0.500, 0.750, 0.750)  0.01
Zr (0.500, 0.250, 0.250)  -0.70

Properties
The space-group type is Pmmm. The calculation puts the excess energy over the best structure of this formula in the dataset at 0.008 eV/atom. Its final energy is -6.476 eV per atom.

[6]
KZrMn2 | PBE | optimized geometry

Cell: 6.370 6.370 6.370 Å, 153.09 129.06 58.54°
Site moments in Bohr magnetons follow the coordinates.
Fractional coordinates of all 4 atoms:
Mn (0.758, 0.258, 0.500)  3.53
Mn (0.966, 0.966, 0.000)  3.69
K (0.239, 0.739, 0.500)  -0.01
Zr (0.537, 0.537, 0.000)  -0.52

Properties
The space-group type is Imm2. The calculation puts the excess energy over the best structure of this formula in the dataset at 0.369 eV/atom. Its final energy is -6.115 eV per atom.

[7]
K3ZrMn | PBE | optimized geometry

Cell: 6.372 6.372 6.372 Å, 90.00 90.00 90.00°
Site moments in Bohr magnetons follow the coordinates.
Fractional coordinates of all 5 atoms:
K (0.000, 0.000, 0.500)  -0.03
K (0.000, 0.500, 0.000)  -0.02
K (0.500, 0.000, 0.000)  -0.02
Zr (0.500, 0.500, 0.500)  -1.71
Mn (0.000, 0.000, 0.000)  4.03

Properties
The space-group type is Pm-3m. The calculation puts the excess energy over the best structure of this formula in the dataset at 0.000 eV/atom. Its final energy is -2.729 eV per atom.

[8]
K3ZrMn | PBE | optimized geometry

Cell: 6.778 6.778 6.778 Å, 90.00 90.00 90.00°
Site moments in Bohr magnetons follow the coordinates.
Fractional coordinates of all 5 atoms:
Zr (0.000, 0.000, 0.000)  -1.90
K (0.000, 0.500, 0.000)  -0.05
K (0.500, 0.000, 0.000)  -0.05
K (0.000, 0.000, 0.500)  -0.05
Mn (0.500, 0.500, 0.500)  4.41

Properties
The space-group type is Pm-3m. The calculation puts the excess energy over the best structure of this formula in the dataset at 0.090 eV/atom. Its final energy is -2.639 eV per atom.

[9]
KZrMn2 | PBE | optimized geometry

Cell: 4.891 4.891 7.508 Å, 85.11 85.11 35.56°
Site moments in Bohr magnetons follow the coordinates.
Fractional coordinates of all 4 atoms:
Mn (0.487, 0.487, 0.608)  3.26
Mn (0.013, 0.013, 0.892)  3.26
Zr (0.750, 0.750, 0.750)  -0.70
K (0.250, 0.250, 0.250)  0.00

Properties
The space-group type is C2/m. The calculation puts the excess energy over the best structure of this formula in the dataset at 0.178 eV/atom. Its final energy is -6.306 eV per atom.

[10]
KZr2Mn | PBE | optimized geometry

Cell: 3.179 3.179 10.207 Å, 90.00 90.00 90.00°
Fractional coordinates of all 4 atoms:
Mn (0.500, 0.500, 0.750)
Zr (0.000, 0.000, 0.600)
Zr (0.000, 0.000, 0.900)
K (0.500, 0.500, 0.250)

Properties
The space-group type is P4/mmm. The calculation puts the excess energy over the best structure of this formula in the dataset at 0.000 eV/atom. Its final energy is -6.533 eV per atom.

[11]
KZr2Mn | PBE | optimized geometry

Cell: 5.181 5.181 5.181 Å, 60.00 60.00 60.00°
Site moments in Bohr magnetons follow the coordinates.
Fractional coordinates of all 4 atoms:
Zr (0.250, 0.250, 0.250)  -1.03
Zr (0.000, 0.000, 0.000)  -0.87
K (0.500, 0.500, 0.500)  -0.02
Mn (0.750, 0.750, 0.750)  3.82

Properties
The space-group type is F-43m. The calculation puts the excess energy over the best structure of this formula in the dataset at 0.744 eV/atom. Its final energy is -5.788 eV per atom.

[12]
KZr2Mn2 | PBE | optimized geometry

Cell: 11.655 11.655 11.655 Å, 164.21 164.21 22.40°
Fractional coordinates of all 5 atoms:
Zr (0.349, 0.349, 0.000)
Zr (0.651, 0.651, 0.000)
K (0.000, 0.000, 0.000)
Mn (0.750, 0.250, 0.500)
Mn (0.250, 0.750, 0.500)

Properties
The space-group type is I4/mmm. Its final energy is -6.706 eV per atom.

[13]
KZr2Mn | PBE | optimized geometry

Cell: 10.605 10.605 10.605 Å, 18.41 18.41 18.41°
Site moments in Bohr magnetons follow the coordinates.
Fractional coordinates of all 4 atoms:
Mn (0.750, 0.750, 0.750)  1.35
Zr (0.471, 0.471, 0.471)  -0.16
Zr (0.029, 0.029, 0.029)  -0.16
K (0.250, 0.250, 0.250)  0.01

Properties
The space-group type is R-3m. The calculation puts the excess energy over the best structure of this formula in the dataset at 0.209 eV/atom. Its final energy is -6.324 eV per atom.

[14]
KZrMn | PBE | optimized geometry

Cell: 5.052 5.052 5.052 Å, 60.00 60.00 60.00°
Site moments in Bohr magnetons follow the coordinates.
Fractional coordinates of all 3 atoms:
K (0.750, 0.750, 0.750)  -0.06
Mn (0.000, 0.000, 0.000)  3.95
Zr (0.500, 0.500, 0.500)  -1.29

Properties
The space-group type is F-43m. The calculation puts the excess energy over the best structure of this formula in the dataset at 1.347 eV/atom. Its final energy is -4.285 eV per atom.

[15]
KZrMn2 | PBE | optimized geometry

Cell: 4.992 4.992 4.992 Å, 60.00 60.00 60.00°
Site moments in Bohr magnetons follow the coordinates.
Fractional coordinates of all 4 atoms:
Mn (0.250, 0.250, 0.250)  3.60
Mn (0.750, 0.750, 0.750)  3.60
K (0.000, 0.000, 0.000)  -0.02
Zr (0.500, 0.500, 0.500)  -1.04

Properties
The space-group type is Fm-3m. The calculation puts the excess energy over the best structure of this formula in the dataset at 0.509 eV/atom. Its final energy is -5.975 eV per atom.

[16]
KZrMn2 | PBE | optimized geometry

Cell: 3.078 3.078 9.510 Å, 90.00 90.00 90.00°
Site moments in Bohr magnetons follow the coordinates.
Fractional coordinates of all 4 atoms:
Mn (0.000, 0.000, 0.092)  3.08
Mn (0.500, 0.500, 0.211)  -2.59
Zr (0.000, 0.000, 0.412)  0.11
K (0.500, 0.500, 0.785)  0.00

Properties
The space-group type is P4mm. The calculation puts the excess energy over the best structure of this formula in the dataset at 0.000 eV/atom. Its final energy is -6.484 eV per atom.

[17]
KZr2Mn | PBE | optimized geometry

Cell: 4.441 4.441 4.886 Å, 90.00 90.00 90.02°
Site moments in Bohr magnetons follow the coordinates.
Fractional coordinates of all 4 atoms:
Zr (0.500, 0.500, 0.000)  -0.36
Zr (0.000, 0.000, 0.000)  -0.36
K (0.500, 0.000, 0.500)  -0.03
Mn (0.000, 0.500, 0.500)  3.71

Properties
The space-group type is P4/mmm. The calculation puts the excess energy over the best structure of this formula in the dataset at 0.733 eV/atom. Its final energy is -5.800 eV per atom.

[18]
KZrMn | PBE | optimized geometry

Cell: 4.987 4.987 4.987 Å, 60.00 60.00 60.00°
Site moments in Bohr magnetons follow the coordinates.
Fractional coordinates of all 3 atoms:
K (0.500, 0.500, 0.500)  -0.02
Mn (0.750, 0.750, 0.750)  3.51
Zr (0.000, 0.000, 0.000)  -1.10

Properties
The space-group type is F-43m. The calculation puts the excess energy over the best structure of this formula in the dataset at 0.799 eV/atom. Its final energy is -4.833 eV per atom.

[19]
KZr2Mn | PBE | optimized geometry

Cell: 5.634 5.634 5.634 Å, 132.10 132.10 70.07°
Site moments in Bohr magnetons follow the coordinates.
Fractional coordinates of all 4 atoms:
Mn (0.750, 0.250, 0.500)  3.76
K (0.500, 0.500, 0.000)  -0.01
Zr (0.000, 0.000, 0.000)  -0.55
Zr (0.250, 0.750, 0.500)  -0.44

Properties
The space-group type is I-4m2. The calculation puts the excess energy over the best structure of this formula in the dataset at 0.747 eV/atom. Its final energy is -5.786 eV per atom.

[20]
KZrMn3 | PBE | optimized geometry

Cell: 5.187 5.187 5.187 Å, 90.00 90.00 90.00°
Site moments in Bohr magnetons follow the coordinates.
Fractional coordinates of all 5 atoms:
Mn (0.500, 0.000, 0.000)  3.94
Mn (0.000, 0.000, 0.500)  3.49
Mn (0.000, 0.500, 0.000)  3.72
K (0.500, 0.500, 0.500)  0.00
Zr (0.000, 0.000, 0.000)  -0.97

Properties
The space-group type is Pm-3m. The calculation puts the excess energy over the best structure of this formula in the dataset at 0.000 eV/atom. Its final energy is -6.232 eV per atom.